(1)
This record from Alexandria via LeMat-Bulk describes a relaxed LaSmAgGe crystal. The functional is GGA-PBE.

Cell and atoms, written as POSCAR:
```
LaSmAgGe
1.0
-3.5215 -3.5093 1.7560
-3.1736 -2.4792 -3.4032
0.6823 -5.1356 -0.9794
Ag Sm La Ge
1 1 1 1
Direct
0.7500 0.7500 0.7500
0.0000 0.0000 0.0000
0.5000 0.5000 0.5000
0.2500 0.2500 0.2500
```

Computed properties:
**SG**: F-43m (216)
**Density of states at the Fermi level**: 4.55 states/eV/cell
**Size of the total moment**: 0.01 μB/f.u.
**Formation enthalpy at 0 K**: -2.08 eV per formula unit
**Crystal system**: cubic



(2)
This record from Alexandria via LeMat-Bulk describes a relaxed La2SmAg2Ge2 crystal. The functional is GGA-PBE.

Cell and atoms, written as POSCAR:
```
La2SmAg2Ge2
1.0
4.6006 0.0000 0.0000
2.3003 3.9842 0.0000
2.3003 1.3281 9.5485
La Ge Ag Sm
2 2 2 1
Direct
0.1284 0.1284 0.6149
0.8716 0.8716 0.3851
0.2644 0.2644 0.2069
0.7356 0.7356 0.7931
0.3956 0.3956 0.8132
0.6044 0.6044 0.1868
0.0000 0.0000 0.0000
```

Computed properties:
**SG**: R-3m (166)
**Density of states at the Fermi level**: 3.50 states/eV/cell
**Size of the total moment**: 0.00 μB/f.u.
**Formation enthalpy at 0 K**: -3.19 eV per formula unit
**Crystal system**: trigonal



(3)
This record from Alexandria via LeMat-Bulk describes a relaxed SrLa2Ag2Ge2 crystal. The functional is GGA-PBE.

Cell and atoms, written as POSCAR:
```
SrLa2Ag2Ge2
1.0
4.6840 0.0000 0.0000
2.3420 4.0565 0.0000
2.3420 1.3522 9.8694
Ag La Sr Ge
2 2 1 2
Direct
0.4044 0.4044 0.7868
0.5956 0.5956 0.2132
0.8702 0.8702 0.3894
0.1298 0.1298 0.6106
0.0000 0.0000 0.0000
0.2537 0.2537 0.2388
0.7463 0.7463 0.7612
```

Computed properties:
**SG**: R-3m (166)
**Density of states at the Fermi level**: 2.29 states/eV/cell
**Size of the total moment**: 0.00 μB/f.u.
**Formation enthalpy at 0 K**: -3.31 eV per formula unit
**Crystal system**: trigonal



(4)
This record from Alexandria via LeMat-Bulk describes a relaxed LaAgGeTe3 crystal. The functional is GGA-PBE.

Cell and atoms, written as POSCAR:
```
LaAgGeTe3
1.0
-1.2181 4.1375 0.4350
-1.6425 -1.3816 8.5425
9.3052 2.7222 0.1653
Ge La Te Ag
2 2 6 2
Direct
0.2500 0.6622 0.1443
0.7500 0.3378 0.8557
0.2500 0.1774 0.2418
0.7500 0.8226 0.7582
0.2500 0.5766 0.8467
0.2500 0.7390 0.4977
0.7500 0.2610 0.5023
0.7500 0.8974 0.1215
0.2500 0.1026 0.8785
0.7500 0.4234 0.1533
0.7500 0.9181 0.4188
0.2500 0.0819 0.5812
```

Computed properties:
**SG**: P2_1/m (11)
**Size of the total moment**: 0.00 μB/f.u.
**Formation energy from raw total energies**: -0.70 eV per atom
**Crystal system**: monoclinic



(5)
This record from Alexandria via LeMat-Bulk describes a relaxed LaThAgGe crystal. The functional is GGA-PBE.

Cell and atoms, written as POSCAR:
```
LaThAgGe
1.0
-1.5490 -2.2769 4.5153
1.4569 -4.9652 1.0934
3.5221 -0.9394 3.8320
Th Ge La Ag
1 1 1 1
Direct
0.0000 0.0000 0.0000
0.2500 0.2500 0.2500
0.5000 0.5000 0.5000
0.7500 0.7500 0.7500
```

Computed properties:
**SG**: F-43m (216)
**Density of states at the Fermi level**: 3.94 states/eV/cell
**Size of the total moment**: 0.00 μB/f.u.
**Formation enthalpy at 0 K**: -1.54 eV per formula unit
**Crystal system**: cubic



(6)
This record from Alexandria via LeMat-Bulk describes a relaxed LaTl2AgGe crystal. The functional is GGA-PBE.

Cell and atoms, written as POSCAR:
```
LaTl2AgGe
1.0
-1.3724 -0.6622 -6.0739
-0.4694 -5.4879 0.7044
-6.0869 0.6876 1.3004
Ag Tl Ge La
1 2 1 1
Direct
0.5000 0.5000 0.5000
0.0000 0.0000 0.5000
0.5000 0.0000 0.0000
0.0000 0.5000 0.0000
0.0000 0.0000 0.0000
```

Computed properties:
**SG**: P4/mmm (123)
**Density of states at the Fermi level**: 4.56 states/eV/cell
**Size of the total moment**: 0.00 μB/f.u.
**Formation enthalpy at 0 K**: 3.95 eV per formula unit
**Crystal system**: tetragonal



(7)
This record from Alexandria via LeMat-Bulk describes a relaxed LaTmAgGe crystal. The functional is GGA-PBE.

Cell and atoms, written as POSCAR:
```
LaTmAgGe
1.0
-0.9662 -2.0575 -4.6717
1.6688 -4.7898 -1.1245
-3.4067 -3.8943 -0.4691
Tm Ag La Ge
1 1 1 1
Direct
0.0000 0.0000 0.0000
0.7500 0.7500 0.7500
0.5000 0.5000 0.5000
0.2500 0.2500 0.2500
```

Computed properties:
**SG**: F-43m (216)
**Density of states at the Fermi level**: 3.88 states/eV/cell
**Size of the total moment**: 0.00 μB/f.u.
**Formation enthalpy at 0 K**: -2.01 eV per formula unit
**Crystal system**: cubic



(8)
This record from Alexandria via LeMat-Bulk describes a relaxed LaYAgGe crystal. The functional is GGA-PBE.

Cell and atoms, written as POSCAR:
```
LaYAgGe
1.0
5.2304 0.0000 0.0000
2.6152 4.5297 0.0000
2.6152 1.5099 4.2706
La Ge Ag Y
1 1 1 1
Direct
0.0000 0.0000 0.0000
0.2500 0.2500 0.2500
0.7500 0.7500 0.7500
0.5000 0.5000 0.5000
```

Computed properties:
**SG**: F-43m (216)
**Density of states at the Fermi level**: 4.19 states/eV/cell
**Size of the total moment**: 0.00 μB/f.u.
**Formation enthalpy at 0 K**: -2.12 eV per formula unit
**Crystal system**: cubic